A relaxed Sr4LaCrFe4O15 crystal, computed with PBE with a Hubbard U.

abc: 16.5780 5.5393 6.7768
angles: 90.00 105.69 90.00
Space group Cm (No. 8)
Inequivalent atoms, fractional coordinates:
Sr  0.0000  0.0000  0.0000
Sr  0.0991  0.5000  0.3985
Sr  0.1998  0.0000  0.7988
Sr  0.2993  0.5000  0.2001
La  0.3982  0.0000  0.6011
Cr  0.2984  0.5000  0.6998
Fe  0.0000  0.0000  0.5004
Fe  0.0999  0.5000  0.9008
Fe  0.1995  0.0000  0.2985
Fe  0.3992  0.0000  0.0988
O  0.0459  0.2548  0.6996
O  0.1006  0.0000  0.4036
O  0.1498  0.2510  0.0970
O  0.2008  0.5000  0.7903
O  0.2554  0.2459  0.5011
O  0.3015  0.0000  0.2012
O  0.3509  0.2465  0.8900
O  0.3989  0.5000  0.6007
O  0.4488  0.2466  0.3064
O  0.4978  0.0000  0.9980

- theoretical density (g/cm3) = 5.57
- raw total energy (eV per atom) = -6.741
- spin magnetization (μB per cell) = 38.3